Here is crystalline LaTeP2S at its relaxed geometry from Alexandria. Energies are from PBE-GGA.

Polymorph energy (0 for the lowest one)   0 meV/atom
Formation energy without anion corrections   -0.06 eV per atom
Magnetization   0.0 μB/cell

a b c (Å): 5.0032 5.0032 5.0709
angles (deg): 90.00 90.00 90.00
Last column: nearest neighbours and their distance in Å.
Space group P4/mmm (No. 123)
Asymmetric unit:
1 La 0.0000 0.0000 0.0000 (multiplicity 1)  4 S 3.54, 8 P 3.56
2 Te 0.5000 0.5000 0.5000 (multiplicity 1)  4 P 2.50, 2 S 2.54
3 P 0.0000 0.5000 0.5000 (multiplicity 2)  2 Te 2.50
4 S 0.5000 0.5000 0.0000 (multiplicity 1)  2 Te 2.54